Arrangement a

First-principles (PBE-GGA) data for an optimized crystal structure of TeW2Se, as listed in Alexandria.

Calculated values
Its density of states at the Fermi level is 0.93 states/eV per atom.

a = 3.2545 Å, b = 3.2545 Å, c = 6.4940 Å
α = 90.00°, β = 90.00°, γ = 90.00°
Fractional positions:
W (0.0000, 0.0000, 0.4797)
Te (0.5000, 0.5000, 0.7500)
W (0.0000, 0.0000, 0.0203)
Se (0.5000, 0.5000, 0.2500)

Arrangement b

First-principles (PBE-GGA) data for an optimized crystal structure of TeW2Se, as listed in Alexandria.

Calculated values
Its density of states at the Fermi level is 0.87 states/eV per atom.

a = 3.0029 Å, b = 3.0029 Å, c = 10.1298 Å
α = 90.00°, β = 90.00°, γ = 112.02°
Fractional positions:
Te (0.5000, 0.5000, 0.7958)
Se (0.0000, 0.0000, 0.4355)
W (0.5000, 0.5000, 0.2313)
W (0.0000, 0.0000, 0.0374)

Ranking the structures above from most stable to least stable yields arrangement b, arrangement a.